1.
A plane-wave DFT calculation with PBE was carried out for a relaxed CaNdZnIn crystal.

Summary:
Mass density ... 5569 kg/m³
Symmetry ... F-43m (216)
Energy relative to the elements ... -38.1 kJ per mole of atoms
Magnetic moment ... 0.000 Bohr magnetons per cell

a = 5.3570 Å, b = 5.3570 Å, c = 5.3570 Å
α = 60.00°, β = 60.00°, γ = 60.00°
Closest atoms and distances in Å follow each position.
Positions (direct):
Ca 0.0000 0.0000 0.0000  4 In 3.28, 4 Zn 3.28
Nd 0.5000 0.5000 0.5000  4 Zn 3.28, 4 In 3.28
Zn 0.7500 0.7500 0.7500  4 Nd 3.28, 4 Ca 3.28
In 0.2500 0.2500 0.2500  4 Nd 3.28, 4 Ca 3.28

***

2.
A plane-wave DFT calculation with PBE was carried out for a relaxed Ca2NdZn2In2 crystal.

Summary:
Mass density ... 5070 kg/m³
Symmetry ... R-3m (166)
Energy relative to the elements ... -33.3 kJ per mole of atoms
Magnetic moment ... 0.000 Bohr magnetons per cell

a = 10.1182 Å, b = 10.1182 Å, c = 10.1182 Å
α = 27.24°, β = 27.24°, γ = 27.24°
Closest atoms and distances in Å follow each position.
Positions (direct):
Ca 0.1254 0.1254 0.1254  3 In 3.20, 3 Zn 3.38
Ca 0.8746 0.8746 0.8746  3 In 3.20, 3 Zn 3.38
Nd 0.0000 0.0000 0.0000  6 Zn 3.24, 6 In 3.41
Zn 0.3917 0.3917 0.3917  3 In 2.77
Zn 0.6083 0.6083 0.6083  3 In 2.77
In 0.2642 0.2642 0.2642  3 Zn 2.77
In 0.7358 0.7358 0.7358  3 Zn 2.77

***

3.
A plane-wave DFT calculation with PBE was carried out for a relaxed CaIn12Ni4 crystal.

Summary:
Mass density ... 6249 kg/m³
Symmetry ... Im-3 (204)
Energy relative to the elements ... -3.9 kJ per mole of atoms
Magnetic moment ... 0.000 Bohr magnetons per cell

a = 8.2936 Å, b = 8.2936 Å, c = 8.2936 Å
α = 109.47°, β = 109.47°, γ = 109.47°
Closest atoms and distances in Å follow each position.
Positions (direct):
Ca 0.0000 0.0000 0.0000  12 In 3.58
In 0.1165 0.3165 0.8001  2 Ni 2.52
In 0.1999 0.5164 0.3165  2 Ni 2.52
In 0.1999 0.8835 0.6835  2 Ni 2.52
In 0.3165 0.1999 0.5164  2 Ni 2.52
In 0.3165 0.8001 0.1165  2 Ni 2.52
In 0.4836 0.6835 0.8001  2 Ni 2.52
In 0.5164 0.3165 0.1999  2 Ni 2.52
In 0.6835 0.1999 0.8835  2 Ni 2.52
In 0.6835 0.8001 0.4836  2 Ni 2.52
In 0.8001 0.1165 0.3165  2 Ni 2.52
In 0.8001 0.4836 0.6835  2 Ni 2.52
In 0.8835 0.6835 0.1999  2 Ni 2.52
Ni 0.0000 0.0000 0.5000  6 In 2.52
Ni 0.0000 0.5000 0.0000  6 In 2.52
Ni 0.5000 0.0000 0.0000  6 In 2.52
Ni 0.5000 0.5000 0.5000  6 In 2.52

***

4.
A plane-wave DFT calculation with PBE was carried out for a relaxed CaIn5Ni3 crystal.

Summary:
Mass density ... 7170 kg/m³
Symmetry ... Cmcm (63)
Energy relative to the elements ... -14.9 kJ per mole of atoms
Magnetic moment ... 0.000 Bohr magnetons per cell

a = 5.4344 Å, b = 5.4344 Å, c = 19.0217 Å
α = 90.00°, β = 90.00°, γ = 139.34°
Closest atoms and distances in Å follow each position.
Positions (direct):
Ca 0.1506 0.8494 0.7500  3 Ni 2.90
Ca 0.8494 0.1506 0.2500  3 Ni 2.90
In 0.0000 0.0000 0.0000  4 Ni 2.71
In 0.0000 0.0000 0.5000  4 Ni 2.71
In 0.2797 0.7203 0.1113  3 Ni 2.65-2.68
In 0.2797 0.7203 0.3887  3 Ni 2.65-2.68
In 0.4399 0.5601 0.6569  3 Ni 2.70-2.75, 1 In 2.99
In 0.4399 0.5601 0.8431  3 Ni 2.70-2.75, 1 In 2.99
In 0.5601 0.4399 0.1569  3 Ni 2.70-2.75, 1 In 2.99
In 0.5601 0.4399 0.3431  3 Ni 2.70-2.75, 1 In 2.99
In 0.7203 0.2797 0.6113  3 Ni 2.65-2.68
In 0.7203 0.2797 0.8887  3 Ni 2.65-2.68
Ni 0.1338 0.8662 0.2500  4 In 2.70, 3 Ca 2.90
Ni 0.3170 0.6830 0.5281  2 Ni 2.56, 6 In 2.65-2.75
Ni 0.3170 0.6830 0.9719  2 Ni 2.56, 6 In 2.65-2.75
Ni 0.6830 0.3170 0.0281  2 Ni 2.56, 6 In 2.65-2.75
Ni 0.6830 0.3170 0.4719  2 Ni 2.56, 6 In 2.65-2.75
Ni 0.8662 0.1338 0.7500  4 In 2.70, 3 Ca 2.90